#one
Na2AsAu2: optimized geometry, PBE.

The structure belongs to space group I4/mmm (No. 139); the cell edges are 3.968, 3.968 and 13.914 Å and the angles 90.00°, 90.00° and 90.00°. The asymmetric unit holds Na at (0.000, 0.500, 0.250), As at (0.000, 0.000, 0.000) and Au at (0.000, 0.000, 0.404).

#two
Na2AsAu2: optimized geometry, PBE.

The structure belongs to space group C2/c (No. 15); the cell edges are 9.759, 5.551 and 8.427 Å and the angles 90.00°, 100.78° and 90.00°. The asymmetric unit holds Na at (0.153, 0.122, 0.167), As at (0.000, 0.360, 0.750) and Au at (0.128, 0.377, 0.485).

Stability check: which of them is least stable? #one.

#one
NaAs2AuSe: optimized geometry, PBE.

The structure belongs to space group P4/mmm (No. 123); the cell edges are 5.056, 5.056 and 5.418 Å and the angles 90.00°, 90.00° and 90.00°. The asymmetric unit holds Na at (0.000, 0.000, 0.000), As at (0.000, 0.500, 0.500), Au at (0.500, 0.500, 0.500) and Se at (0.500, 0.500, 0.000).

#two
NaAs2AuSe: optimized geometry, PBE.

The structure belongs to space group P4/mmm (No. 123); the cell edges are 5.007, 5.007 and 4.980 Å and the angles 90.00°, 90.00° and 90.00°. The asymmetric unit holds Na at (0.000, 0.000, 0.000), As at (0.000, 0.500, 0.000), Au at (0.500, 0.500, 0.500) and Se at (0.000, 0.000, 0.500).

Stability check: which of them is least stable? #two.